No. 1
Compound: Pb2AuCl2
Source: the Alexandria database
Functional: GGA-PBE
Structure: optimized geometry

Results
* N(E_F): 1.03 states/eV/f.u.
* SG: P4/mbm
* formation energy from raw total energies: -0.4864 eV/atom

extended XYZ file:
```
10
Lattice="-4.897 1.003 6.153 2.576 -6.800 3.159 3.346 2.328 2.283" Properties=species:S:1:pos:R:3 pbc="T T T"
Cl 2.593 -3.154 4.196
Cl -1.569 -0.315 7.400
Cl 0.617 -3.899 7.851
Cl 0.408 0.430 3.744
Pb -2.173 -3.897 7.157
Pb -2.895 -0.613 4.867
Pb -0.149 -1.900 2.155
Pb 0.573 -5.184 4.445
Au -1.161 -2.898 4.656
Au 0.000 0.000 0.000
```



No. 2
Compound: PbAu2Cl
Source: the Alexandria database
Functional: GGA-PBE
Structure: optimized geometry

Results
* N(E_F): 1.43 states/eV/f.u.
* distance to the lowest polymorph of the same formula: 368 meV per atom
* SG: Cmmm
* formation energy from raw total energies: 0.0900 eV/atom

extended XYZ file:
```
4
Lattice="-2.538 1.861 -1.726 2.174 -1.796 -2.220 -4.876 -6.329 0.345" Properties=species:S:1:pos:R:3 pbc="T T T"
Au -2.398 -3.113 0.170
Au -0.040 -0.051 0.003
Cl -1.401 -1.550 -1.887
Pb -3.839 -4.714 -1.714
```



No. 3
Compound: Pb5AuCl12
Source: the Alexandria database
Functional: GGA-PBE
Structure: optimized geometry

Results
* N(E_F): 0.58 states/eV/f.u.
* SG: C2/m
* formation energy from raw total energies: -0.9662 eV/atom

extended XYZ file:
```
18
Lattice="-7.320 -1.695 -1.658 -2.669 -6.967 1.049 -4.102 2.958 11.802" Properties=species:S:1:pos:R:3 pbc="T T T"
Cl -10.773 -5.454 10.250
Cl -7.072 -4.362 4.375
Cl -3.695 1.553 7.007
Cl -7.728 -0.289 3.136
Cl -3.739 -1.495 4.584
Cl -4.621 0.712 10.894
Cl -10.353 -4.208 6.607
Cl -7.834 -2.893 10.911
Cl -6.257 -2.810 0.281
Cl -7.019 -1.341 6.817
Cl -3.318 -0.248 0.942
Cl -9.471 -6.415 0.298
Pb -6.637 -5.915 -0.363
Pb -5.050 -3.455 6.326
Pb -3.353 -2.746 -0.247
Pb -5.711 0.632 5.072
Pb -9.042 -2.248 4.866
Au -6.771 -4.008 12.850
```



No. 4
Compound: PbAuCl2
Source: the Alexandria database
Functional: GGA-PBE
Structure: optimized geometry

Results
* N(E_F): 2.87 states/eV/f.u.
* distance to the lowest polymorph of the same formula: 210 meV per atom
* SG: Pmm2
* formation energy from raw total energies: -0.2575 eV/atom

extended XYZ file:
```
4
Lattice="4.254 0.000 0.000 0.000 4.266 0.000 0.000 0.000 5.626" Properties=species:S:1:pos:R:3 pbc="T T T"
Cl 0.000 0.000 5.510
Cl 2.127 2.133 1.481
Au 2.127 2.133 4.247
Pb 0.000 0.000 2.828
```



No. 5
Compound: Pb2AuCl
Source: the Alexandria database
Functional: GGA-PBE
Structure: optimized geometry

Results
* N(E_F): 2.18 states/eV/f.u.
* distance to the lowest polymorph of the same formula: 220 meV per atom
* SG: P4mm
* formation energy from raw total energies: -0.1532 eV/atom

extended XYZ file:
```
4
Lattice="3.769 0.000 0.000 0.000 3.769 0.000 0.000 0.000 8.184" Properties=species:S:1:pos:R:3 pbc="T T T"
Pb 1.885 1.885 2.402
Pb 0.000 0.000 8.037
Cl 1.885 1.885 6.461
Au 0.000 0.000 3.561
```



No. 6
Compound: PbAuCl
Source: the Alexandria database
Functional: GGA-PBE
Structure: optimized geometry

Results
* distance to the lowest polymorph of the same formula: 55 meV per atom
* SG: F-43m
* formation energy from raw total energies: -0.3002 eV/atom

extended XYZ file:
```
3
Lattice="-0.869 -4.018 2.854 -1.806 -4.188 -2.059 2.919 -4.044 -0.417" Properties=species:S:1:pos:R:3 pbc="T T T"
Pb 0.183 -9.188 0.283
Cl 0.122 -6.125 0.189
Au 0.000 0.000 0.000
```



No. 7
Compound: PbAu2Cl
Source: the Alexandria database
Functional: GGA-PBE
Structure: optimized geometry

Results
* N(E_F): 1.07 states/eV/f.u.
* distance to the lowest polymorph of the same formula: 97 meV per atom
* SG: Pmm2
* formation energy from raw total energies: -0.1811 eV/atom

extended XYZ file:
```
4
Lattice="3.831 0.000 0.000 0.000 3.846 0.000 0.000 0.000 7.298" Properties=species:S:1:pos:R:3 pbc="T T T"
Au 1.915 1.923 0.929
Au 0.000 0.000 0.520
Pb 1.915 1.923 5.463
Cl 0.000 0.000 4.034
```



No. 8
Compound: Pb2AuCl
Source: the Alexandria database
Functional: GGA-PBE
Structure: optimized geometry

Results
* N(E_F): 1.99 states/eV/f.u.
* distance to the lowest polymorph of the same formula: 65 meV per atom
* SG: Pm
* formation energy from raw total energies: -0.3077 eV/atom

extended XYZ file:
```
4
Lattice="5.891 0.000 0.000 0.000 3.578 -0.043 0.000 0.068 5.077" Properties=species:S:1:pos:R:3 pbc="T T T"
Au 0.000 1.367 1.888
Cl 2.945 3.183 4.404
Pb 0.000 3.193 4.406
Pb 2.945 1.372 1.888
```



No. 9
Compound: PbAuCl2
Source: the Alexandria database
Functional: GGA-PBE
Structure: optimized geometry

Results
* N(E_F): 5.28 states/eV/f.u.
* distance to the lowest polymorph of the same formula: 289 meV per atom
* SG: F-43m
* formation energy from raw total energies: -0.1784 eV/atom

extended XYZ file:
```
4
Lattice="-0.902 4.520 -2.162 -4.699 1.181 -1.564 -2.703 3.521 2.494" Properties=species:S:1:pos:R:3 pbc="T T T"
Au -4.152 4.611 -0.616
Cl -6.228 6.916 -0.924
Cl 0.000 0.000 0.000
Pb -2.076 2.305 -0.308
```



No. 10
Compound: PbAu3Cl
Source: the Alexandria database
Functional: GGA-PBE
Structure: optimized geometry

Results
* N(E_F): 3.68 states/eV/f.u.
* distance to the lowest polymorph of the same formula: 20 meV per atom
* SG: Pm-3m
* formation energy from raw total energies: 0.6870 eV/atom

extended XYZ file:
```
5
Lattice="-2.303 2.929 3.394 0.339 -3.691 3.415 4.470 1.788 1.490" Properties=species:S:1:pos:R:3 pbc="T T T"
Au 0.169 -1.845 1.707
Au -1.151 1.464 1.697
Au 2.235 0.894 0.745
Pb 1.253 0.513 4.149
Cl 0.000 0.000 0.000
```



No. 11
Compound: PbAu2Cl
Source: the Alexandria database
Functional: GGA-PBE
Structure: optimized geometry

Results
* N(E_F): 1.70 states/eV/f.u.
* distance to the lowest polymorph of the same formula: 184 meV per atom
* SG: I-42d
* formation energy from raw total energies: -0.0935 eV/atom

extended XYZ file:
```
8
Lattice="8.359 0.000 0.000 0.000 8.359 0.000 4.180 4.180 2.814" Properties=species:S:1:pos:R:3 pbc="T T T"
Cl 4.180 4.180 0.000
Cl 4.180 8.359 1.407
Pb 8.359 4.180 1.407
Pb 0.000 0.000 0.000
Au 6.299 2.090 0.703
Au 2.060 6.269 0.703
Au 6.269 6.240 2.110
Au 10.449 10.478 2.110
```



No. 12
Compound: PbAu2Cl
Source: the Alexandria database
Functional: GGA-PBE
Structure: optimized geometry

Results
* N(E_F): 0.39 states/eV/f.u.
* distance to the lowest polymorph of the same formula: 100 meV per atom
* SG: R3m
* formation energy from raw total energies: -0.1773 eV/atom

extended XYZ file:
```
4
Lattice="-3.761 3.100 4.553 -0.051 1.234 6.554 0.340 5.175 4.194" Properties=species:S:1:pos:R:3 pbc="T T T"
Au -3.397 9.303 14.969
Au -1.032 2.827 4.549
Cl -1.697 4.648 7.479
Pb -2.555 6.996 11.257
```



No. 13
Compound: Pb2AuCl
Source: the Alexandria database
Functional: GGA-PBE
Structure: optimized geometry

Results
* N(E_F): 1.88 states/eV/f.u.
* distance to the lowest polymorph of the same formula: 0 meV per atom
* SG: C2/m
* formation energy from raw total energies: -0.3731 eV/atom

extended XYZ file:
```
4
Lattice="3.998 -0.056 0.027 2.092 3.407 0.027 1.902 1.047 8.243" Properties=species:S:1:pos:R:3 pbc="T T T"
Au 5.994 3.298 6.222
Cl 1.998 1.099 2.074
Pb 1.902 1.046 8.050
Pb 3.996 2.199 4.341
```



No. 14
Compound: PbAu2Cl
Source: the Alexandria database
Functional: GGA-PBE
Structure: optimized geometry

Results
* N(E_F): 1.26 states/eV/f.u.
* distance to the lowest polymorph of the same formula: 368 meV per atom
* SG: P4/mmm
* formation energy from raw total energies: 0.0906 eV/atom

extended XYZ file:
```
4
Lattice="-2.288 -2.686 0.078 2.247 -1.969 -1.878 3.045 -2.415 6.174" Properties=species:S:1:pos:R:3 pbc="T T T"
Pb 2.263 -4.138 3.731
Au 3.044 -2.415 6.173
Au 1.523 -1.208 3.088
Cl 0.741 -2.931 0.643
```



No. 15
Compound: PbAuCl5
Source: the Alexandria database
Functional: GGA-PBE
Structure: optimized geometry

Results
* SG: C2/c
* formation energy from raw total energies: -0.6198 eV/atom

extended XYZ file:
```
14
Lattice="-6.285 2.637 -1.729 -4.929 -4.932 0.909 -11.344 0.930 8.501" Properties=species:S:1:pos:R:3 pbc="T T T"
Pb -8.721 0.637 1.175
Pb -13.837 -2.002 6.507
Au -5.672 0.465 4.251
Au 0.000 0.000 0.000
Cl -9.832 -2.307 1.043
Cl -15.787 -0.266 4.745
Cl -4.352 -2.705 0.478
Cl -10.674 1.387 3.464
Cl -7.792 -4.545 2.980
Cl -12.725 0.942 6.638
Cl -11.883 -2.751 4.217
Cl -6.771 -1.099 2.936
Cl -18.205 1.341 7.204
Cl -14.765 3.180 4.701
```



No. 16
Compound: PbAuCl2
Source: the Alexandria database
Functional: GGA-PBE
Structure: optimized geometry

Results
* N(E_F): 2.00 states/eV/f.u.
* distance to the lowest polymorph of the same formula: 233 meV per atom
* SG: I-4m2
* formation energy from raw total energies: -0.2353 eV/atom

extended XYZ file:
```
4
Lattice="-3.371 4.562 2.194 -1.341 0.297 5.924 4.851 -0.819 -3.575" Properties=species:S:1:pos:R:3 pbc="T T T"
Au -0.438 3.086 1.339
Cl 0.000 0.000 0.000
Cl 0.577 0.954 3.204
Pb -2.356 2.430 4.059
```



No. 17
Compound: Pb2AuCl
Source: the Alexandria database
Functional: GGA-PBE
Structure: optimized geometry

Results
* N(E_F): 0.79 states/eV/f.u.
* distance to the lowest polymorph of the same formula: 237 meV per atom
* SG: I-42d
* formation energy from raw total energies: -0.1358 eV/atom

extended XYZ file:
```
8
Lattice="6.428 0.000 0.000 0.000 6.428 0.000 3.214 3.214 7.147" Properties=species:S:1:pos:R:3 pbc="T T T"
Pb 1.400 4.821 1.787
Pb 5.027 1.607 1.787
Pb 4.821 4.614 5.360
Pb 8.035 8.241 5.360
Cl 3.214 3.214 0.000
Cl 3.214 6.428 3.573
Au 6.428 3.214 3.573
Au 0.000 0.000 0.000
```



No. 18
Compound: PbAu2Cl
Source: the Alexandria database
Functional: GGA-PBE
Structure: optimized geometry

Results
* N(E_F): 1.15 states/eV/f.u.
* distance to the lowest polymorph of the same formula: 257 meV per atom
* SG: Cmmm
* formation energy from raw total energies: -0.0203 eV/atom

extended XYZ file:
```
4
Lattice="5.057 0.096 0.000 -2.066 4.617 0.000 0.000 0.000 4.121" Properties=species:S:1:pos:R:3 pbc="T T T"
Pb -1.033 2.309 2.061
Au 0.000 0.000 0.000
Au 1.496 2.357 0.000
Cl 2.529 0.048 2.061
```



No. 19
Compound: PbAuCl2
Source: the Alexandria database
Functional: GGA-PBE
Structure: optimized geometry

Results
* N(E_F): 1.95 states/eV/f.u.
* distance to the lowest polymorph of the same formula: 173 meV per atom
* SG: Cmm2
* formation energy from raw total energies: -0.2948 eV/atom

extended XYZ file:
```
4
Lattice="3.702 0.031 0.000 -1.123 3.528 0.000 0.000 0.000 8.340" Properties=species:S:1:pos:R:3 pbc="T T T"
Pb 0.000 0.000 4.379
Cl 0.000 0.000 7.649
Cl 1.290 1.779 2.494
Au 1.290 1.779 6.327
```



No. 20
Compound: PbAu2Cl
Source: the Alexandria database
Functional: GGA-PBE
Structure: optimized geometry

Results
* N(E_F): 3.31 states/eV/f.u.
* distance to the lowest polymorph of the same formula: 436 meV per atom
* SG: Fm-3m
* formation energy from raw total energies: 0.1583 eV/atom

extended XYZ file:
```
4
Lattice="-0.811 -3.623 -3.431 -4.720 -1.123 -1.423 -1.601 1.223 -4.637" Properties=species:S:1:pos:R:3 pbc="T T T"
Pb -3.566 -1.762 -4.746
Au -5.349 -2.642 -7.118
Au -1.783 -0.881 -2.373
Cl 0.000 0.000 0.000
```